1.
Crystalline BaAs2PbSe at its relaxed geometry. Source: the Alexandria database, functional GGA-PBEsol.

Values from the calculation:
Space group: P4/mmm (123)
Volume in Å³/atom: 31.5
Total moment in Bohr magnetons per cell: 0.00
E_form (uncorrected) in eV/atom: -0.06

Lattice parameters (Å, degrees): 5.332 5.332 5.543 90.00 90.00 90.00
Element x y z (fractional)
Ba  0.000  0.000  0.000
As  0.000  0.500  0.500
As  0.500  0.000  0.500
Pb  0.500  0.500  0.500
Se  0.500  0.500  0.000

---

2.
Crystalline BaAs2Pd at its relaxed geometry. Source: the Alexandria database, functional GGA-PBEsol.

Values from the calculation:
Calculated formation energy in eV per atom: -0.85
Space group: Cmcm (63)
Volume in Å³/atom: 22.9
Total moment in Bohr magnetons per cell: 0.00

Lattice parameters (Å, degrees): 4.670 17.224 4.560 90.00 90.00 90.00
Element x y z (fractional)
Ba  0.000  0.106  0.250
Ba  0.000  0.894  0.750
Ba  0.500  0.394  0.750
Ba  0.500  0.606  0.250
As  0.000  0.250  0.750
As  0.000  0.462  0.250
As  0.000  0.538  0.750
As  0.000  0.750  0.250
As  0.500  0.038  0.750
As  0.500  0.250  0.250
As  0.500  0.750  0.750
As  0.500  0.962  0.250
Pd  0.000  0.314  0.250
Pd  0.000  0.686  0.750
Pd  0.500  0.186  0.750
Pd  0.500  0.814  0.250

---

3.
Crystalline BaAsPd3 at its relaxed geometry. Source: the Alexandria database, functional GGA-PBEsol.

Values from the calculation:
Calculated formation energy in eV per atom: -0.45
Space group: Pm-3m (221)
Volume in Å³/atom: 21.9
Total moment in Bohr magnetons per cell: 0.00

Lattice parameters (Å, degrees): 4.787 4.787 4.787 90.00 90.00 90.00
Element x y z (fractional)
Ba  0.000  0.000  0.000
As  0.500  0.500  0.500
Pd  0.000  0.500  0.500
Pd  0.500  0.000  0.500
Pd  0.500  0.500  0.000

---

4.
Crystalline BaAsPt at its relaxed geometry. Source: the Alexandria database, functional GGA-PBEsol.

Values from the calculation:
Calculated formation energy in eV per atom: -0.98
Space group: P2_13 (198)
Volume in Å³/atom: 25.2
Total moment in Bohr magnetons per cell: 0.00

Lattice parameters (Å, degrees): 6.715 6.715 6.715 90.00 90.00 90.00
Element x y z (fractional)
Ba  0.111  0.111  0.111
Ba  0.389  0.889  0.611
Ba  0.611  0.389  0.889
Ba  0.889  0.611  0.389
As  0.171  0.329  0.671
As  0.329  0.671  0.171
As  0.671  0.171  0.329
As  0.829  0.829  0.829
Pt  0.096  0.596  0.904
Pt  0.404  0.404  0.404
Pt  0.596  0.904  0.096
Pt  0.904  0.096  0.596

---

5.
Crystalline BaAsPt at its relaxed geometry. Source: the Alexandria database, functional GGA-PBEsol.

Values from the calculation:
Calculated formation energy in eV per atom: -0.18
Space group: F-43m (216)
Volume in Å³/atom: 26.8
Total moment in Bohr magnetons per cell: 0.00

Lattice parameters (Å, degrees): 6.853 6.853 6.853 90.00 90.00 90.00
Element x y z (fractional)
Ba  0.000  0.000  0.000
Ba  0.000  0.500  0.500
Ba  0.500  0.000  0.500
Ba  0.500  0.500  0.000
As  0.250  0.250  0.750
As  0.250  0.750  0.250
As  0.750  0.250  0.250
As  0.750  0.750  0.750
Pt  0.000  0.000  0.500
Pt  0.000  0.500  0.000
Pt  0.500  0.000  0.000
Pt  0.500  0.500  0.500

---

6.
Crystalline BaAsPt3 at its relaxed geometry. Source: the Alexandria database, functional GGA-PBEsol.

Values from the calculation:
Calculated formation energy in eV per atom: -0.24
Space group: Pm-3m (221)
Volume in Å³/atom: 22.1
Total moment in Bohr magnetons per cell: 0.00

Lattice parameters (Å, degrees): 4.797 4.797 4.797 90.00 90.00 90.00
Element x y z (fractional)
Ba  0.000  0.000  0.000
As  0.500  0.500  0.500
Pt  0.000  0.500  0.500
Pt  0.500  0.000  0.500
Pt  0.500  0.500  0.000

---

7.
Crystalline RbBaAs2Se at its relaxed geometry. Source: the Alexandria database, functional GGA-PBEsol.

Values from the calculation:
Space group: P4/mmm (123)
Volume in Å³/atom: 41.8
Total moment in Bohr magnetons per cell: 1.37
E_form (uncorrected) in eV/atom: 0.24

Lattice parameters (Å, degrees): 5.885 5.885 6.039 90.00 90.00 90.00
Element x y z (fractional)
Rb  0.000  0.000  0.000
Ba  0.500  0.500  0.500
As  0.000  0.500  0.500
As  0.500  0.000  0.500
Se  0.500  0.500  0.000

---

8.
Crystalline RbBaZrAs2 at its relaxed geometry. Source: the Alexandria database, functional GGA-PBEsol.

Values from the calculation:
Calculated formation energy in eV per atom: 1.32
Space group: P4/mmm (123)
Volume in Å³/atom: 35.4
Total moment in Bohr magnetons per cell: 2.62

Lattice parameters (Å, degrees): 5.599 5.599 5.639 90.00 90.00 90.00
Element x y z (fractional)
Rb  0.000  0.000  0.000
Ba  0.000  0.000  0.500
Zr  0.500  0.500  0.500
As  0.000  0.500  0.000
As  0.500  0.000  0.000